[1]
VASP calculation (PBE-GGA) on crystalline ZrAl3Si2 at its relaxed geometry.

Output
energy above the most stable polymorph in this dataset = 0.000 eV/atom

Cell: 4.3796 11.6376 3.8921 Å, 90.00 90.00 90.00°
Closest atoms and distances in Å follow each position.
Fractional positions:
1 Zr 0.0000 0.0000 0.0000  4 Si 2.82, 8 Al 2.93-2.98
2 Zr 0.5000 0.5000 0.0000  4 Si 2.82, 8 Al 2.93-2.98
3 Al 0.0000 0.3268 0.0000  6 Si 2.62-2.93, 4 Al 2.80-2.83
4 Al 0.0000 0.5000 0.5000  4 Al 2.80, 4 Zr 2.93, 4 Si 3.00
5 Al 0.0000 0.6732 0.0000  6 Si 2.62-2.93, 4 Al 2.80-2.83
6 Al 0.5000 0.0000 0.5000  4 Al 2.80, 4 Zr 2.93, 4 Si 3.00
7 Al 0.5000 0.1732 0.0000  6 Si 2.62-2.93, 4 Al 2.80-2.83
8 Al 0.5000 0.8268 0.0000  6 Si 2.62-2.93, 4 Al 2.80-2.83
9 Si 0.0000 0.1758 0.5000  6 Al 2.62-2.93, 2 Si 2.79, 2 Zr 2.82
10 Si 0.0000 0.8242 0.5000  6 Al 2.62-2.93, 2 Si 2.79, 2 Zr 2.82
11 Si 0.5000 0.3242 0.5000  6 Al 2.62-2.93, 2 Si 2.79, 2 Zr 2.82
12 Si 0.5000 0.6758 0.5000  6 Al 2.62-2.93, 2 Si 2.79, 2 Zr 2.82


[2]
VASP calculation (PBE-GGA) on crystalline Zr3Al2Si3 at its relaxed geometry.

Output
energy above the most stable polymorph in this dataset = 0.000 eV/atom

Cell: 6.5855 6.5855 3.7886 Å, 90.00 90.00 120.00°
Closest atoms and distances in Å follow each position.
Fractional positions:
1 Zr 0.0000 0.3338 0.0000  4 Si 2.76, 4 Al 2.90
2 Zr 0.3338 0.0000 0.0000  4 Si 2.76, 4 Al 2.90
3 Zr 0.6662 0.6662 0.0000  4 Si 2.76, 4 Al 2.90
4 Al 0.3333 0.6667 0.5000  3 Si 2.46
5 Al 0.6667 0.3333 0.5000  3 Si 2.46
6 Si 0.0000 0.7380 0.5000  2 Al 2.46, 4 Zr 2.76
7 Si 0.2620 0.2620 0.5000  2 Al 2.46, 4 Zr 2.76
8 Si 0.7380 0.0000 0.5000  2 Al 2.46, 4 Zr 2.76


[3]
VASP calculation (PBE-GGA) on crystalline Zr2Al2Si at its relaxed geometry.

Output
energy above the most stable polymorph in this dataset = 1.015 eV/atom

Cell: 4.2700 4.2700 12.1338 Å, 90.00 90.00 90.00°
Closest atoms and distances in Å follow each position.
Fractional positions:
1 Zr 0.0000 0.5000 0.2500  4 Al 2.82, 4 Zr 3.02
2 Zr 0.0000 0.5000 0.7500  4 Al 2.82, 4 Zr 3.02
3 Zr 0.5000 0.0000 0.2500  4 Al 2.82, 4 Zr 3.02
4 Zr 0.5000 0.0000 0.7500  4 Al 2.82, 4 Zr 3.02
5 Al 0.0000 0.0000 0.0986  1 Al 2.39
6 Al 0.0000 0.0000 0.9014  1 Al 2.39
7 Al 0.5000 0.5000 0.4014  1 Al 2.39
8 Al 0.5000 0.5000 0.5986  1 Al 2.39
9 Si 0.0000 0.0000 0.5000  8 Al 3.25
10 Si 0.5000 0.5000 0.0000  8 Al 3.25


[4]
VASP calculation (PBE-GGA) on crystalline ZrAl2Si at its relaxed geometry.

Cell: 3.9173 3.9173 8.6826 Å, 90.00 90.00 90.00°
Closest atoms and distances in Å follow each position.
Fractional positions:
1 Zr 0.0000 0.0000 0.0000  8 Al 2.77-2.92, 4 Si 2.92
2 Zr 0.5000 0.5000 0.5000  8 Al 2.77-2.92, 4 Si 2.92
3 Al 0.0000 0.0000 0.5000  4 Zr 2.77, 4 Al 2.92, 4 Si 2.92
4 Al 0.0000 0.5000 0.2500  4 Si 2.77, 4 Al 2.92, 4 Zr 2.92
5 Al 0.5000 0.0000 0.7500  4 Si 2.77, 4 Zr 2.92, 4 Al 2.92
6 Al 0.5000 0.5000 0.0000  4 Zr 2.77, 4 Al 2.92, 4 Si 2.92
7 Si 0.0000 0.5000 0.7500  8 Al 2.77-2.92, 4 Zr 2.92
8 Si 0.5000 0.0000 0.2500  8 Al 2.77-2.92, 4 Zr 2.92


[5]
VASP calculation (PBE-GGA) on crystalline Zr3Al2Si at its relaxed geometry.

Output
energy above the most stable polymorph in this dataset = 0.000 eV/atom

Cell: 3.7938 14.0623 4.2838 Å, 90.00 90.00 90.00°
Closest atoms and distances in Å follow each position.
Fractional positions:
1 Zr 0.0000 0.0000 0.0000  4 Si 2.86, 4 Zr 3.12, 4 Al 3.15
2 Zr 0.0000 0.1612 0.5000  6 Al 2.87-3.11, 2 Si 2.96, 4 Zr 3.12-3.14
3 Zr 0.0000 0.8388 0.5000  6 Al 2.87-3.11, 2 Si 2.96, 4 Zr 3.12-3.14
4 Zr 0.5000 0.3388 0.5000  6 Al 2.87-3.11, 2 Si 2.96, 4 Zr 3.12-3.14
5 Zr 0.5000 0.5000 0.0000  4 Si 2.86, 4 Zr 3.12, 4 Al 3.15
6 Zr 0.5000 0.6612 0.5000  6 Al 2.87-3.11, 2 Si 2.96, 4 Zr 3.12-3.14
7 Al 0.0000 0.3215 0.0000  2 Al 2.76, 4 Zr 2.87
8 Al 0.0000 0.6785 0.0000  2 Al 2.76, 4 Zr 2.87
9 Al 0.5000 0.1785 0.0000  2 Al 2.76, 4 Zr 2.87
10 Al 0.5000 0.8215 0.0000  2 Al 2.76, 4 Zr 2.87
11 Si 0.0000 0.5000 0.5000  8 Zr 2.86-2.96
12 Si 0.5000 0.0000 0.5000  8 Zr 2.86-2.96


[6]
VASP calculation (PBE-GGA) on crystalline ZrAl2Si at its relaxed geometry.

Cell: 9.0909 9.0909 9.0909 Å, 33.44 33.44 33.44°
Closest atoms and distances in Å follow each position.
Fractional positions:
1 Zr 0.0000 0.0000 0.0000  6 Si 3.02
2 Zr 0.1450 0.1450 0.1450  9 Al 3.04-3.06, 3 Si 3.07, 3 Zr 3.22
3 Zr 0.8550 0.8550 0.8550  9 Al 3.04-3.06, 3 Si 3.07, 3 Zr 3.22
4 Al 0.0806 0.5864 0.5864  4 Al 2.58-2.65, 3 Si 2.61-2.66
5 Al 0.4136 0.4136 0.9194  4 Al 2.58-2.65, 3 Si 2.61-2.66
6 Al 0.4136 0.9194 0.4136  4 Al 2.58-2.65, 3 Si 2.61-2.66
7 Al 0.5864 0.0806 0.5864  4 Al 2.58-2.65, 3 Si 2.61-2.66
8 Al 0.5864 0.5864 0.0806  4 Al 2.58-2.65, 3 Si 2.61-2.66
9 Al 0.9194 0.4136 0.4136  4 Al 2.58-2.65, 3 Si 2.61-2.66
10 Si 0.3334 0.3334 0.3334  6 Al 2.64-2.66
11 Si 0.5000 0.5000 0.5000  6 Al 2.61
12 Si 0.6666 0.6666 0.6666  6 Al 2.64-2.66


[7]
VASP calculation (PBE-GGA) on crystalline Zr2Al6Si at its relaxed geometry.

Cell: 6.9530 6.9530 6.4704 Å, 110.92 110.92 32.91°
Closest atoms and distances in Å follow each position.
Fractional positions:
1 Zr 0.0531 0.0531 0.2967  2 Si 2.66, 6 Al 2.93-2.95
2 Zr 0.9469 0.9469 0.7033  2 Si 2.66, 6 Al 2.93-2.95
3 Al 0.1760 0.1760 0.0046  8 Al 2.80-3.04, 2 Zr 2.93-2.95, 2 Si 3.06
4 Al 0.2754 0.2754 0.6516  5 Al 2.68-3.00, 3 Zr 2.94-3.00, 1 Si 3.00
5 Al 0.3939 0.3939 0.3380  7 Al 2.83-3.02, 4 Zr 2.95-2.98, 1 Si 3.02
6 Al 0.6061 0.6061 0.6620  7 Al 2.83-3.02, 4 Zr 2.95-2.98, 1 Si 3.02
7 Al 0.7246 0.7246 0.3484  5 Al 2.68-3.00, 3 Zr 2.94-3.00, 1 Si 3.00
8 Al 0.8240 0.8240 0.9954  8 Al 2.80-3.04, 2 Zr 2.93-2.95, 2 Si 3.06
9 Si 0.5000 0.5000 0.0000  4 Zr 2.66


[8]
VASP calculation (PBE-GGA) on crystalline ZrAl2Si4 at its relaxed geometry.

Output
energy above the most stable polymorph in this dataset = 0.253 eV/atom

Cell: 3.1320 3.1320 14.7176 Å, 90.00 90.00 120.00°
Closest atoms and distances in Å follow each position.
Fractional positions:
1 Zr 0.0000 0.0000 0.0000  6 Si 2.81, 6 Zr 3.13
2 Al 0.3333 0.6667 0.6859  4 Si 2.47-2.61
3 Al 0.6667 0.3333 0.3141  4 Si 2.47-2.61
4 Si 0.3333 0.6667 0.4416  3 Si 2.49, 3 Al 2.61
5 Si 0.3333 0.6667 0.8541  1 Al 2.47
6 Si 0.6667 0.3333 0.1459  1 Al 2.47
7 Si 0.6667 0.3333 0.5584  3 Si 2.49, 3 Al 2.61


Uncorrected formation energy values, unit meV/atom, following the record order: -104, -592, 470, -455, -467, -228, -328, 183.
Final energy values, unit eV for the cell shown, following the record order: -62.49, -54.14, -55.31, -46.55, -82.71, -67.11, -47.93, -36.44.